Record 1
Computed, not measured: a relaxed SmY2S2 crystal at the PBE level of DFT.

The structure belongs to space group R-3m (No. 166, hexagonal axes); the cell edges are 3.8786, 3.8786 and 28.7347 Å and the angles 90.00°, 90.00° and 120.00°. The inequivalent atoms are Sm at (0.0000, 0.0000, 0.0000), Y at (0.0000, 0.0000, 0.2170) and S at (0.0000, 0.0000, 0.3930).

For the uncorrected formation energy, the calculation gives -1.594 eV per atom.


Record 2
Computed, not measured: a relaxed SmY2S3 crystal at the PBE level of DFT.

The structure belongs to space group Immm (No. 71); the cell edges are 3.954, 5.581 and 11.836 Å and the angles 90.00°, 90.00° and 90.00°. The inequivalent atoms are Sm at (0.000, 0.000, 0.000), Y at (0.000, 0.000, 0.336), S at (0.000, 0.500, 0.000) and S at (0.000, 0.500, 0.328).

For the uncorrected formation energy, the calculation gives -2.003 eV per atom.


Which formula does entry 2 have?
SmY2S3


The highest uncorrected formation energy belongs to which entry?
SmY2S2